(1)
First-principles (PBE) data for a geometry-optimized Eu2ZnPd structure, as listed in Alexandria.

Summary:
As for the space group: P4/mmm. The calculation puts the energy of formation at -0.464 eV/atom. The crystal system is tetragonal.

a = 3.7154 Å, b = 3.7154 Å, c = 7.2684 Å
α = 90.00°, β = 90.00°, γ = 90.00°
Last column: nearest neighbours and their distance in Å.
Positions (direct):
Zn  0.5000  0.5000  0.5000  8 Eu 3.24
Eu  0.0000  0.0000  0.2399  4 Pd 3.15, 4 Zn 3.24, 1 Eu 3.49
Pd  0.5000  0.5000  0.0000  8 Eu 3.15
Eu  0.0000  0.0000  0.7601  4 Pd 3.15, 4 Zn 3.24, 1 Eu 3.49

---

(2)
First-principles (PBE) data for a geometry-optimized EuZnPd2 structure, as listed in Alexandria.

Summary:
As for the space group: P4/mmm. The calculation puts the energy of formation at -0.510 eV/atom. The crystal system is tetragonal.

a = 3.2923 Å, b = 3.2923 Å, c = 6.9062 Å
α = 90.00°, β = 90.00°, γ = 90.00°
Last column: nearest neighbours and their distance in Å.
Positions (direct):
Eu  0.5000  0.5000  0.5000  8 Pd 3.11, 4 Eu 3.29, 2 Zn 3.45
Zn  0.5000  0.5000  0.0000  8 Pd 2.71
Pd  0.0000  0.0000  0.7986  4 Zn 2.71, 1 Pd 2.78
Pd  0.0000  0.0000  0.2014  4 Zn 2.71, 1 Pd 2.78

---

(3)
First-principles (PBE) data for a geometry-optimized EuZnPd structure, as listed in Alexandria.

Summary:
As for the space group: P-6m2. The calculation puts the energy of formation at -0.597 eV/atom. The crystal system is hexagonal.

a = 4.0266 Å, b = 4.4311 Å, c = 4.4311 Å
α = 120.00°, β = 90.00°, γ = 90.00°
Last column: nearest neighbours and their distance in Å.
Positions (direct):
Pd  0.1666  0.0000  0.0000  3 Zn 2.56
Zn  0.1669  0.6667  0.3333  3 Pd 2.56
Eu  0.6665  0.3333  0.6667  6 Zn 3.25-3.26, 6 Pd 3.26

---

(4)
First-principles (PBE) data for a geometry-optimized EuZrPd2 structure, as listed in Alexandria.

Summary:
As for the space group: P4/mmm. The calculation puts the excess energy over the best structure of this formula in the dataset at 0 meV per atom. The calculation puts the energy of formation at -0.643 eV/atom. The crystal system is tetragonal.

a = 3.4264 Å, b = 3.4264 Å, c = 7.3627 Å
α = 90.00°, β = 90.00°, γ = 90.00°
Last column: nearest neighbours and their distance in Å.
Positions (direct):
Pd  0.0000  0.0000  0.2009  4 Zr 2.84, 1 Pd 2.96
Zr  0.5000  0.5000  0.0000  8 Pd 2.84
Pd  0.0000  0.0000  0.7991  4 Zr 2.84, 1 Pd 2.96
Eu  0.5000  0.5000  0.5000  8 Pd 3.27, 4 Eu 3.43

---

(5)
First-principles (PBE) data for a geometry-optimized EuZrPd2 structure, as listed in Alexandria.

Summary:
As for the space group: R-3m. The calculation puts the excess energy over the best structure of this formula in the dataset at 205 meV per atom. The calculation puts the energy of formation at -0.437 eV/atom. The crystal system is trigonal.

a = 4.0473 Å, b = 4.0473 Å, c = 7.1371 Å
α = 73.53°, β = 73.53°, γ = 60.00°
Last column: nearest neighbours and their distance in Å.
Positions (direct):
Eu  0.5000  0.5000  0.5000  6 Pd 3.06
Zr  0.0000  0.0000  0.0000  6 Pd 2.73
Pd  0.2640  0.2640  0.2080  3 Zr 2.73
Pd  0.7360  0.7360  0.7920  3 Zr 2.73

---

(6)
First-principles (PBE) data for a geometry-optimized EuZrPd2 structure, as listed in Alexandria.

Summary:
As for the space group: Fm-3m. The calculation puts the excess energy over the best structure of this formula in the dataset at 168 meV per atom. The calculation puts the energy of formation at -0.475 eV/atom. The crystal system is cubic.

a = 4.9108 Å, b = 4.9108 Å, c = 4.9108 Å
α = 60.00°, β = 60.00°, γ = 60.00°
Last column: nearest neighbours and their distance in Å.
Positions (direct):
Pd  0.2500  0.2500  0.2500  4 Zr 3.01, 4 Eu 3.01
Pd  0.7500  0.7500  0.7500  4 Zr 3.01, 4 Eu 3.01
Eu  0.0000  0.0000  0.0000  8 Pd 3.01
Zr  0.5000  0.5000  0.5000  8 Pd 3.01